#A
## SmDyHoAl (PBE-GGA)

Data for a relaxed structure of SmDyHoAl.

Calculated values
**Space-group type**: No. 216

a b c (Å): 7.597 7.597 7.597
angles (deg): 90.00 90.00 90.00
Positions (direct):
Sm 0.000 0.000 0.000
Sm 0.000 0.500 0.500
Sm 0.500 0.000 0.500
Sm 0.500 0.500 0.000
Dy 0.000 0.000 0.500
Dy 0.000 0.500 0.000
Dy 0.500 0.000 0.000
Dy 0.500 0.500 0.500
Ho 0.250 0.250 0.750
Ho 0.250 0.750 0.250
Ho 0.750 0.250 0.250
Ho 0.750 0.750 0.750
Al 0.250 0.250 0.250
Al 0.250 0.750 0.750
Al 0.750 0.250 0.750
Al 0.750 0.750 0.250

#B
## SmDyHoAl (PBE-GGA)

Data for a relaxed structure of SmDyHoAl.

Calculated values
**Space-group type**: No. 99

a b c (Å): 3.520 3.520 9.056
angles (deg): 90.00 90.00 90.00
Positions (direct):
Sm 0.000 0.000 0.000
Dy 0.500 0.500 0.710
Ho 0.500 0.500 0.288
Al 0.000 0.000 0.498

Tell me which of them is the least stable. Sure, it is #A.

#A
## TbDyHoAl (PBE-GGA)

Data for a relaxed structure of TbDyHoAl.

Calculated values
**Space-group type**: No. 47

a b c (Å): 4.756 4.759 4.760
angles (deg): 90.00 90.00 90.00
Positions (direct):
Tb 0.000 0.000 0.000
Dy 0.000 0.500 0.500
Ho 0.500 0.000 0.500
Al 0.500 0.500 0.000

#B
## TbDyHoAl (PBE-GGA)

Data for a relaxed structure of TbDyHoAl.

Calculated values
**Space-group type**: No. 216

a b c (Å): 7.553 7.553 7.553
angles (deg): 90.00 90.00 90.00
Positions (direct):
Tb 0.000 0.000 0.000
Tb 0.000 0.500 0.500
Tb 0.500 0.000 0.500
Tb 0.500 0.500 0.000
Dy 0.000 0.000 0.500
Dy 0.000 0.500 0.000
Dy 0.500 0.000 0.000
Dy 0.500 0.500 0.500
Ho 0.250 0.250 0.750
Ho 0.250 0.750 0.250
Ho 0.750 0.250 0.250
Ho 0.750 0.750 0.750
Al 0.250 0.250 0.250
Al 0.250 0.750 0.750
Al 0.750 0.250 0.750
Al 0.750 0.750 0.250

Tell me which of them is the least stable. Sure, it is #B.

#A
## DyYHoAl (PBE-GGA)

Data for a relaxed structure of DyYHoAl.

Calculated values
**Space-group type**: No. 47

a b c (Å): 4.747 4.752 4.778
angles (deg): 90.00 90.00 90.00
Positions (direct):
Dy 0.000 0.000 0.000
Y 0.000 0.500 0.500
Ho 0.500 0.500 0.000
Al 0.500 0.000 0.500

#B
## DyYHoAl (PBE-GGA)

Data for a relaxed structure of DyYHoAl.

Calculated values
**Space-group type**: No. 216

a b c (Å): 7.560 7.560 7.560
angles (deg): 90.00 90.00 90.00
Positions (direct):
Dy 0.000 0.000 0.000
Dy 0.000 0.500 0.500
Dy 0.500 0.000 0.500
Dy 0.500 0.500 0.000
Y 0.000 0.000 0.500
Y 0.000 0.500 0.000
Y 0.500 0.000 0.000
Y 0.500 0.500 0.500
Ho 0.250 0.250 0.250
Ho 0.250 0.750 0.750
Ho 0.750 0.250 0.750
Ho 0.750 0.750 0.250
Al 0.250 0.250 0.750
Al 0.250 0.750 0.250
Al 0.750 0.250 0.250
Al 0.750 0.750 0.750

Tell me which of them is the least stable. Sure, it is #B.

#A
## Dy2AlI (PBE-GGA)

Data for a relaxed structure of Dy2AlI.

Calculated values
**Space-group type**: No. 166

a b c (Å): 3.850 3.850 26.307
angles (deg): 90.00 90.00 120.00
Positions (direct):
Dy 0.000 0.000 0.242
Dy 0.000 0.000 0.758
Dy 0.333 0.667 0.425
Dy 0.333 0.667 0.908
Dy 0.667 0.333 0.092
Dy 0.667 0.333 0.575
Al 0.000 0.000 0.500
Al 0.333 0.667 0.167
Al 0.667 0.333 0.833
I 0.000 0.000 0.000
I 0.333 0.667 0.667
I 0.667 0.333 0.333

#B
## Dy2AlI (PBE-GGA)

Data for a relaxed structure of Dy2AlI.

Calculated values
**Space-group type**: No. 123

a b c (Å): 3.577 3.577 8.378
angles (deg): 90.00 90.00 90.00
Positions (direct):
Dy 0.000 0.000 0.220
Dy 0.000 0.000 0.780
Al 0.500 0.500 0.000
I 0.500 0.500 0.500

Tell me which of them is the least stable. Sure, it is #B.